Material: PmPa2MoC4
Method: DFT, PBE-GGA
State: relaxed

POSCAR file:
```
PmPa2MoC4
1.0
3.6741 0.0000 0.0000
-1.8371 5.9999 0.0000
0.0000 0.0000 11.9168
C Pa Mo Pm
8 4 2 2
Direct
0.0000 0.0000 0.0000
0.2568 0.5137 0.3763
0.2568 0.5137 0.1237
0.4344 0.8688 0.7500
0.7432 0.4863 0.6237
0.0000 0.0000 0.5000
0.7432 0.4863 0.8763
0.5656 0.1312 0.2500
0.6309 0.2617 0.0424
0.6309 0.2617 0.4576
0.3691 0.7383 0.9576
0.3691 0.7383 0.5424
0.8594 0.7188 0.7500
0.1406 0.2812 0.2500
0.8762 0.7523 0.2500
0.1238 0.2477 0.7500
```

- space group = Cmcm
- formation enthalpy at 0 K (meV per atom) = -123.8
- DOS(E_F) (states/eV per cell) = 12.59